{
  "formula": "Dy4AsC2",
  "functional": "GGA-PBE",
  "state": "optimized geometry",
  "cell": [[-2.872, -1.719, -1.766], [-0.021, -1.999, 6.036], [-7.512, 9.383, 3.081]],
  "species": ["As", "As", "C", "C", "C", "C", "Dy", "Dy", "Dy", "Dy", "Dy", "Dy", "Dy", "Dy"],
  "fractional_positions": [[0.609, 0.219, 0.750], [0.391, 0.781, 0.250], [0.136, 0.272, 0.440], [0.864, 0.728, 0.940], [0.136, 0.272, 0.060], [0.864, 0.728, 0.560], [0.765, 0.531, 0.108], [0.765, 0.531, 0.392], [0.235, 0.469, 0.892], [0.235, 0.469, 0.608], [0.935, 0.869, 0.750], [0.065, 0.131, 0.250], [0.500, 0.000, 0.000], [0.500, 0.000, 0.500]],
  "energy_ev_per_atom": -6.5737,
  "spacegroup": "No. 63"
}